[1]
Here is a relaxed Tm2ThPaS4 crystal from Alexandria. Energies are from PBE-GGA.

```
Tm2ThPaS4
1.0
-0.6250 -1.9397 3.2237
5.0430 -4.6186 -1.8012
5.7214 2.1667 2.4129
Tm Th Pa S
2 1 1 4
direct
0.0000 0.0000 0.0000 Tm
0.5000 0.0000 0.5000 Tm
0.5000 0.5000 0.0000 Th
0.0000 0.5000 0.5000 Pa
0.0000 0.7693 0.7390 S
0.0000 0.2307 0.2610 S
0.5000 0.7655 0.2494 S
0.5000 0.2345 0.7506 S
```

Computed properties:
VASP energy ... -7.107 eV per atom
N(E_F) ... 5.5 states/eV/f.u.
Density ... 9.156 Mg/m³
Raw formation energy ... -1.8109 eV/atom

---

[2]
Here is a relaxed Dy2PtC crystal from Alexandria. Energies are from PBE-GGA.

```
Dy2PtC
1.0
-1.8698 0.8565 3.0634
-3.4078 -1.3191 0.5109
0.7874 -5.5472 4.2536
C Pt Dy
1 1 2
direct
0.5000 0.5000 0.5000 C
0.0000 0.0000 0.0000 Pt
0.7657 0.7657 0.7029 Dy
0.2343 0.2343 0.2971 Dy
```

Computed properties:
VASP energy ... -6.741 eV per atom
Energy of formation from the pure elements ... -0.623 eV per atom
N(E_F) ... 0.3 states/eV/f.u.
Density ... 11.178 Mg/m³

---

[3]
Here is a relaxed TcS crystal from Alexandria. Energies are from PBE-GGA.

```
TcS
1.0
7.0023 0.0000 0.0000
0.0000 11.1052 0.0000
0.0000 0.0000 9.0537
Tc S
16 16
direct
0.0000 0.1271 0.0000 Tc
0.0000 0.8729 0.0000 Tc
0.2500 0.6229 0.2500 Tc
0.2500 0.8771 0.2500 Tc
0.0000 0.6271 0.5000 Tc
0.0000 0.3729 0.5000 Tc
0.2500 0.1229 0.7500 Tc
0.2500 0.3771 0.7500 Tc
0.5000 0.1271 0.5000 Tc
0.5000 0.8729 0.5000 Tc
0.7500 0.6229 0.7500 Tc
0.7500 0.8771 0.7500 Tc
0.5000 0.6271 0.0000 Tc
0.5000 0.3729 0.0000 Tc
0.7500 0.1229 0.2500 Tc
0.7500 0.3771 0.2500 Tc
0.0000 0.0000 0.7987 S
0.0000 0.0000 0.2013 S
0.2500 0.7500 0.4513 S
0.2500 0.7500 0.0487 S
0.0000 0.5000 0.2987 S
0.0000 0.5000 0.7013 S
0.2500 0.2500 0.9513 S
0.2500 0.2500 0.5487 S
0.5000 0.0000 0.2987 S
0.5000 0.0000 0.7013 S
0.7500 0.7500 0.9513 S
0.7500 0.7500 0.5487 S
0.5000 0.5000 0.7987 S
0.5000 0.5000 0.2013 S
0.7500 0.2500 0.4513 S
0.7500 0.2500 0.0487 S
```

Computed properties:
VASP energy ... -7.484 eV per atom
N(E_F) ... 0.9 states/eV/f.u.
Density ... 4.908 Mg/m³
Raw formation energy ... -0.2377 eV/atom
Energy relative to the lowest polymorph listed for this composition ... 0.303 eV/f.u.

---

[4]
Here is a relaxed AgGe2RhI crystal from Alexandria. Energies are from PBE-GGA.

```
AgGe2RhI
1.0
5.5038 0.0000 0.0000
0.0000 4.8439 0.0000
0.0000 0.0000 5.5038
I Ge Rh Ag
1 2 1 1
direct
0.0000 0.0000 0.0000 I
0.0000 0.0000 0.5000 Ge
0.5000 0.0000 0.0000 Ge
0.0000 0.5000 0.0000 Rh
0.5000 0.5000 0.5000 Ag
```

Computed properties:
VASP energy ... -2.999 eV per atom
N(E_F) ... 3.0 states/eV/f.u.
Density ... 5.465 Mg/m³
Raw formation energy ... 1.1981 eV/atom

---

[5]
Here is a relaxed Tc2HgRu crystal from Alexandria. Energies are from PBE-GGA.

```
Tc2HgRu
1.0
-0.4166 -0.8028 4.8171
1.2977 -2.8376 3.7797
3.8459 2.4097 1.6289
Hg Ru Tc
1 1 2
direct
0.7500 0.7500 0.7500 Hg
0.2500 0.2500 0.2500 Ru
0.9892 0.9892 0.0314 Tc
0.5108 0.5108 0.4686 Tc
```

Computed properties:
VASP energy ... -7.129 eV per atom
Energy of formation from the pure elements ... 0.448 eV per atom
N(E_F) ... 4.5 states/eV/f.u.
Density ... 13.039 Mg/m³